No. 1
Y2Er3ScS6 PBE optimized geometry; M_tot = 0.0 μB per formula unit; calculated density = 6.26 g cm⁻³; uncorrected formation energy = -1946 meV/atom
1.0
3.852 0.000 0.000
0.000 7.734 0.275
-1.926 -2.230 8.091
Y Er Sc S
2 3 1 6
Cartesian
1.926 3.672 5.585
0.000 1.832 2.781
1.926 3.867 0.137
1.926 -0.199 5.411
0.000 5.703 2.955
1.926 0.000 0.000
0.000 5.627 5.711
1.926 3.796 2.839
1.926 -0.123 2.656
1.926 -0.353 8.124
0.000 5.857 0.243
0.000 1.708 5.527

No. 2
ZnInSi2Ir PBE optimized geometry; M_tot = 0.0 μB per formula unit; calculated density = 6.30 g cm⁻³; uncorrected formation energy = 1703 meV/atom
1.0
4.881 0.000 0.000
0.000 4.742 0.000
0.000 0.000 4.881
Zn Ir Si In
1 1 2 1
Cartesian
0.000 2.371 0.000
2.441 2.371 2.441
0.000 0.000 2.441
2.441 0.000 0.000
0.000 0.000 0.000

No. 3
AlPF3 PBE optimized geometry; M_tot = 3.0 μB per formula unit; calculated density = 3.11 g cm⁻³; uncorrected formation energy = -1582 meV/atom
1.0
3.945 0.000 0.000
0.000 3.945 0.000
0.000 0.000 3.945
P Al F
1 1 3
Cartesian
1.972 1.972 1.972
0.000 0.000 0.000
0.000 1.972 0.000
0.000 0.000 1.972
1.972 0.000 0.000

No. 4
MgIrW PBE optimized geometry; energy of formation from the pure elements = -0.19 eV/atom; M_tot = 0.0 μB per formula unit; calculated density = 12.73 g cm⁻³
1.0
2.883 0.000 0.000
0.000 2.883 0.000
-1.442 -1.442 12.560
W Ir Mg
2 2 2
Cartesian
0.000 0.000 7.348
1.442 1.442 5.212
0.000 0.000 3.458
1.442 1.442 9.103
1.442 1.442 1.637
0.000 0.000 10.924

No. 5
Cs4Rb3H2Au3 PBE optimized geometry; M_tot = 0.0 μB per formula unit; calculated density = 4.59 g cm⁻³
1.0
5.967 0.000 0.000
0.000 5.588 0.000
-2.983 -2.794 14.996
Cs Rb H Au
4 3 2 3
Cartesian
0.011 2.794 12.267
0.023 0.000 6.150
3.006 2.794 8.846
2.995 0.000 2.729
0.004 0.000 0.000
0.008 2.794 2.945
2.992 0.000 12.051
0.011 0.000 2.896
2.995 2.794 12.100
3.022 2.794 0.000
0.008 0.000 9.853
2.991 2.794 5.143

No. 6
AcThIrRh PBE optimized geometry; energy of formation from the pure elements = -0.65 eV/atom; M_tot = 0.0 μB per formula unit; calculated density = 11.71 g cm⁻³
1.0
-2.122 -3.446 0.766
1.850 2.007 3.086
-5.230 5.564 -0.487
Ac Th Ir Rh
1 1 1 1
Cartesian
-3.196 -0.575 1.732
-4.218 4.921 1.514
1.008 2.041 3.007
-4.122 2.177 0.492

No. 7
Rh3Au5 PBE optimized geometry; energy of formation from the pure elements = 0.31 eV/atom; M_tot = 1.9 μB per formula unit; calculated density = 15.48 g cm⁻³
1.0
7.860 0.000 0.000
-3.930 6.807 0.000
0.000 0.000 5.186
Au Rh
10 6
Cartesian
6.993 1.503 1.296
-3.063 5.305 3.889
-2.195 6.807 1.296
0.868 1.503 3.889
0.000 4.538 0.000
0.000 4.538 2.593
3.930 2.269 5.186
3.930 2.269 2.593
6.125 0.000 3.889
3.063 5.305 1.296
-1.619 2.804 3.889
5.549 4.003 1.296
3.238 0.000 3.889
1.619 2.804 1.296
0.692 6.807 1.296
2.311 4.003 3.889

No. 8
Tl5S2Cl PBE optimized geometry; M_tot = 0.0 μB per formula unit; calculated density = 6.68 g cm⁻³; uncorrected formation energy = -402 meV/atom
1.0
6.338 0.000 0.000
-3.169 6.425 0.000
0.000 0.000 13.682
Tl S Cl
10 4 2
Cartesian
3.169 5.687 11.988
3.169 5.687 8.535
0.000 4.606 6.346
0.000 4.606 0.495
3.169 2.921 3.420
0.000 3.504 10.261
3.169 1.819 7.336
3.169 1.819 13.187
0.000 0.738 1.694
0.000 0.738 5.147
3.169 4.411 5.923
3.169 4.411 0.918
0.000 2.014 7.759
0.000 2.014 12.764
3.169 2.559 10.261
0.000 3.866 3.420

No. 9
Nd5Te5H2 PBE optimized geometry; M_tot = 0.0 μB per formula unit; calculated density = 6.99 g cm⁻³
1.0
4.156 0.000 0.000
-2.078 7.103 0.502
0.000 -2.600 10.765
Nd Te H
5 5 2
Cartesian
0.000 0.591 3.750
2.078 0.169 8.762
0.000 4.334 2.505
2.078 3.912 7.517
0.000 0.000 0.000
2.078 -1.300 5.383
2.078 2.063 1.181
2.078 2.962 4.449
0.000 1.541 6.818
0.000 2.440 10.086
0.000 -1.334 8.739
2.078 5.837 2.528

No. 10
ZnRu2Rh PBE optimized geometry; energy of formation from the pure elements = 0.10 eV/atom; M_tot = 0.0 μB per formula unit; calculated density = 10.98 g cm⁻³
1.0
-1.782 1.564 -3.137
-2.218 0.518 1.518
-0.285 5.193 2.751
Rh Ru Zn
1 2 1
Cartesian
-2.768 5.065 1.634
-2.211 0.539 1.525
-1.258 2.834 2.128
-1.517 2.210 -0.501

No. 11
La6In2FeNi PBE optimized geometry; energy of formation from the pure elements = -0.24 eV/atom; M_tot = 0.0 μB per formula unit; calculated density = 6.38 g cm⁻³
1.0
-1.692 6.295 -3.845
-6.756 -2.904 -1.786
2.123 0.453 7.247
La In Fe Ni
6 2 1 1
Cartesian
-4.238 2.997 2.992
-5.290 2.781 -0.574
0.045 1.280 5.836
-0.812 4.471 3.891
-1.021 1.037 2.140
-3.379 -0.195 4.939
-1.899 4.220 0.292
-4.431 -0.380 1.321
-0.066 0.069 0.137
-2.088 2.130 4.399

No. 12
TiFe4Au PBE optimized geometry; energy of formation from the pure elements = -0.13 eV/atom; M_tot = 8.1 μB per formula unit; calculated density = 9.77 g cm⁻³
1.0
4.828 0.000 0.000
2.414 4.181 0.000
2.414 1.394 3.942
Au Fe Ti
1 4 1
Cartesian
0.000 0.000 0.000
4.828 2.787 0.503
4.828 1.404 2.460
6.026 3.479 2.460
3.629 3.479 2.460
2.414 1.394 0.985

No. 13
BaSr4Hg4 PBE optimized geometry; energy of formation from the pure elements = -0.39 eV/atom; M_tot = 0.0 μB per formula unit; calculated density = 5.70 g cm⁻³
1.0
6.645 0.000 0.000
0.000 10.638 0.000
0.000 0.000 10.638
Ba Sr Hg
2 8 8
Cartesian
0.000 0.000 0.000
3.323 5.319 5.319
2.693 3.527 9.592
6.016 6.366 8.846
2.693 7.112 1.047
0.630 1.792 6.366
3.952 9.592 7.112
0.630 8.846 4.273
6.016 4.273 1.792
3.952 1.047 3.527
3.988 8.385 3.842
3.988 2.253 6.796
0.665 9.162 7.572
5.980 3.066 9.162
5.980 7.572 1.477
2.657 3.842 2.253
2.657 6.796 8.385
0.665 1.477 3.066

No. 14
V2TeI2 PBE optimized geometry; M_tot = 0.0 μB per formula unit; calculated density = 6.37 g cm⁻³; uncorrected formation energy = 392 meV/atom
1.0
-0.880 7.312 1.855
-3.563 -2.050 6.387
3.824 -0.075 2.109
I Te V
4 2 4
Cartesian
-0.554 -0.251 5.518
-1.678 3.011 7.671
-0.065 5.439 4.834
1.059 2.176 2.681
0.000 0.000 0.000
-2.222 2.631 4.121
-3.590 1.117 6.548
-2.911 5.417 5.470
-0.853 4.145 1.694
-1.532 -0.154 2.772

No. 15
NdTmZnPd PBE optimized geometry; energy of formation from the pure elements = -0.59 eV/atom; M_tot = 0.0 μB per formula unit; calculated density = 8.83 g cm⁻³
1.0
3.586 0.000 0.000
0.000 3.586 0.000
0.000 0.000 7.088
Nd Tm Zn Pd
1 1 1 1
Cartesian
0.000 0.000 6.084
0.000 0.000 2.474
1.793 1.793 4.139
1.793 1.793 0.968

No. 16
ZrFe2Ni PBE optimized geometry; energy of formation from the pure elements = 0.04 eV/atom; M_tot = 4.0 μB per formula unit; calculated density = 7.82 g cm⁻³
1.0
0.000 3.028 3.028
3.028 0.000 3.028
3.028 3.028 0.000
Ni Fe Zr
1 2 1
Cartesian
0.000 0.000 0.000
1.514 1.514 1.514
4.542 4.542 4.542
3.028 3.028 3.028

No. 17
CaCBr PBE optimized geometry; M_tot = 0.5 μB per formula unit; calculated density = 3.28 g cm⁻³; uncorrected formation energy = 375 meV/atom
1.0
-3.522 0.968 -0.095
-0.389 -1.074 3.470
2.956 4.121 1.607
Ca C Br
1 1 1
Cartesian
0.554 4.094 1.329
2.196 3.353 3.207
-0.258 1.104 2.236

No. 18
KSiHO3 PBE optimized geometry; M_tot = 0.0 μB per formula unit; calculated density = 2.37 g cm⁻³
1.0
-4.484 -5.533 2.679
1.191 -2.477 -7.096
9.239 -5.763 3.562
H K O Si
8 8 24 8
Cartesian
1.741 -4.399 -0.365
6.882 -6.012 2.116
-0.936 -7.762 -2.970
4.205 -9.374 -0.490
2.377 -5.648 3.121
0.595 -1.238 -3.548
-2.242 -2.767 1.339
5.215 -4.120 -1.767
-0.188 -1.659 -0.628
3.948 -5.718 0.504
1.998 -8.056 -1.359
6.134 -12.114 -0.227
5.908 -9.493 -3.045
2.876 -2.751 -2.697
0.038 -4.280 2.190
3.070 -11.022 1.842
-1.103 -4.624 -0.506
1.654 -9.083 3.552
-0.104 -7.058 3.165
5.770 -9.838 1.854
7.049 -9.150 -0.349
4.292 -4.690 -4.407
6.050 -6.715 -4.019
0.176 -3.935 -2.709
3.521 -7.074 -3.373
9.270 -7.670 -0.824
-0.243 -4.443 -5.338
5.018 -5.302 -1.949
2.425 -6.699 2.518
-3.324 -6.103 -0.031
6.189 -9.330 4.483
0.927 -8.471 1.094
1.445 -5.283 -0.813
7.286 -5.194 2.606
-1.340 -8.579 -3.460
4.501 -8.490 -0.041
2.165 -3.136 0.276
6.307 -7.180 1.417
-0.361 -6.593 -2.271
3.781 -10.637 -1.131
2.864 -1.942 1.055
5.939 -8.581 0.765
0.007 -5.192 -1.619
3.082 -11.831 -1.910
4.698 -5.958 -3.398
-0.534 -3.406 -4.125
1.248 -7.815 2.543
-2.759 -4.605 -0.292

No. 19
KGeTe2N PBE optimized geometry; M_tot = 2.9 μB per formula unit; calculated density = 3.56 g cm⁻³; uncorrected formation energy = 1508 meV/atom
1.0
6.088 0.000 0.000
0.000 6.088 0.000
0.000 0.000 4.799
Ge Te K N
1 2 1 1
Cartesian
3.044 3.044 2.399
0.000 3.044 0.000
3.044 0.000 0.000
0.000 0.000 0.000
0.000 0.000 2.399

No. 20
SrCuIr2 PBE optimized geometry; energy of formation from the pure elements = 0.28 eV/atom; M_tot = 0.0 μB per formula unit; calculated density = 12.12 g cm⁻³
1.0
4.446 0.000 0.000
0.000 2.870 -0.008
0.000 1.277 5.749
Cu Ir Sr
1 2 1
Cartesian
2.223 3.110 4.306
0.000 3.840 5.388
0.000 2.380 3.223
2.223 1.037 1.435

No. 21
PAu2I6 PBE optimized geometry; M_tot = 1.0 μB per formula unit; calculated density = 5.35 g cm⁻³; uncorrected formation energy = 89 meV/atom
1.0
-7.244 -0.847 0.087
0.483 -4.740 -5.912
5.124 -9.829 8.299
P Au I
2 4 12
Cartesian
-3.381 -2.793 -2.912
2.562 -4.915 4.150
-2.648 -11.986 3.372
-0.178 -7.512 4.862
-1.460 -7.904 -2.388
1.011 -3.430 -0.897
0.033 -2.741 1.572
1.808 -7.268 2.962
3.576 -10.628 5.786
1.029 -9.852 0.080
2.795 -13.198 2.921
-0.789 -5.578 -1.097
-1.671 -12.674 0.903
-3.446 -8.148 -0.487
-5.213 -4.788 -3.311
-2.667 -5.564 2.395
-4.433 -2.217 -0.447
-0.848 -9.838 3.572

No. 22
B2OsC2 PBE optimized geometry; energy of formation from the pure elements = 1.52 eV/atom; M_tot = 0.0 μB per formula unit; calculated density = 10.10 g cm⁻³
1.0
-1.883 -2.222 4.496
3.778 -3.786 -0.289
1.664 1.549 1.462
C B Os
4 4 2
Cartesian
2.608 -4.172 1.451
0.689 -4.304 3.773
-0.713 -1.836 2.755
1.206 -1.704 0.433
2.932 -1.788 1.055
3.038 -3.949 3.223
0.627 -2.672 4.614
0.521 -0.511 2.446
0.000 0.000 0.000
0.948 -3.004 2.103

| no. | raw total energy (eV per atom) |
| --- | --- |
| 1 | -6.755 |
| 2 | -3.041 |
| 3 | -4.536 |
| 4 | -7.990 |
| 5 | -2.080 |
| 6 | -7.586 |
| 7 | -4.491 |
| 8 | -3.144 |
| 9 | -4.957 |
| 10 | -6.698 |
| 11 | -5.169 |
| 12 | -7.630 |
| 13 | -1.482 |
| 14 | -4.504 |
| 15 | -4.520 |
| 16 | -7.770 |
| 17 | -3.924 |
| 18 | -6.308 |
| 19 | -2.556 |
| 20 | -5.597 |
| 21 | -2.273 |
| 22 | -7.087 |